# PtCl4

A relaxed structure of PtCl4 (PBE-GGA, OQMD).

```
data_PtCl4
_space_group_name_H-M_alt 'C m m m'
_space_group_IT_number 65
_space_group_name_Hall '-C 2 2'
_cell_length_a 7.942
_cell_length_b 8.455
_cell_length_c 3.557
_cell_angle_alpha 90.00
_cell_angle_beta 90.00
_cell_angle_gamma 90.00
loop_
_atom_site_label
_atom_site_fract_x
_atom_site_fract_y
_atom_site_fract_z
Pt1 0.000 0.000 0.000
Cl1 0.000 0.185 0.500
Cl2 0.205 0.500 0.000
```

Values from the calculation:
Crystal system ... orthorhombic
Final energy ... -30.0 eV/cell
Size of the total moment ... 0.00 μB/f.u.